First-principles (PBE) data for crystalline KTcAgF6 at its relaxed geometry, as listed in Alexandria via LeMat-Bulk.

Magnetic moment ... 6.00 μB per cell
Raw formation energy ... -2.092 eV per atom
Electronic total energy ... -4.931 eV/atom

Lattice parameters (Å, degrees): 6.3025 6.3025 8.6750 90.00 90.00 120.00
Space group P-31c (No. 163)
Asymmetric unit:
K1 0.3333 0.6667 0.2500 x2
Tc1 0.3333 0.6667 0.7500 x2
Ag1 0.0000 0.0000 0.0000 x2
F1 0.0800 0.4007 0.6228 x12

***

First-principles (PBE) data for crystalline TbNp2PdSe5 at its relaxed geometry, as listed in Alexandria via LeMat-Bulk.

Magnetic moment ... 29.13 μB per cell
Raw formation energy ... -1.186 eV per atom
Electronic total energy ... -7.089 eV/atom

Lattice parameters (Å, degrees): 3.9364 17.2190 12.3236 90.00 90.00 90.00
Space group Cmc2_1 (No. 36)
Asymmetric unit:
Tb1 0.0000 0.1752 0.0000 x4
Np1 0.0000 0.1042 0.3268 x4
Np2 0.0000 0.1215 0.6735 x4
Pd1 0.0000 0.4426 0.3961 x4
Se1 0.0000 0.0074 0.0015 x4
Se2 0.0000 0.3042 0.3258 x4
Se3 0.0000 0.3065 0.6691 x4
Se4 0.0000 0.3424 0.9967 x4
Se5 0.0000 0.4971 0.7149 x4